This record from the Alexandria database describes a relaxed structure of NaSrLa2Os. The functional is PBE.

a = 5.5774 Å, b = 5.5774 Å, c = 6.2478 Å
α = 90.00°, β = 90.00°, γ = 90.00°
Last column: nearest neighbours and their distance in Å.
Sites, in units of the cell vectors:
La1 0.5000 0.0000 0.0000  2 Os 2.79
La2 0.0000 0.5000 0.0000  2 Os 2.79
Sr1 0.0000 0.0000 0.5000  2 Os 3.12
Na1 0.5000 0.5000 0.5000  4 Sr 3.94, 8 La 4.19
Os1 0.0000 0.0000 0.0000  4 La 2.79

Calculated values
SG   No. 123
Energy above the lowest structure with this stoichiometry   0 meV/atom
ΔE_f   0.03 eV/atom

---

This record from the Alexandria database describes a relaxed structure of NaLaTcOs2. The functional is PBE.

a = 4.8048 Å, b = 4.8833 Å, c = 4.8048 Å
α = 90.00°, β = 90.00°, γ = 90.00°
Last column: nearest neighbours and their distance in Å.
Sites, in units of the cell vectors:
La1 0.0000 0.0000 0.0000  4 Os 2.40, 2 Na 2.44
Os1 0.5000 0.0000 0.0000  2 La 2.40
Os2 0.0000 0.0000 0.5000  2 La 2.40
Na1 0.0000 0.5000 0.0000  2 La 2.44
Tc1 0.5000 0.5000 0.5000  4 Na 3.40, 8 Os 3.43

Calculated values
SG   No. 123
ΔE_f   2.55 eV/atom

---

This record from the Alexandria database describes a relaxed structure of Na2LaTeOs. The functional is PBE.

a = 5.4929 Å, b = 5.2120 Å, c = 5.4929 Å
α = 90.00°, β = 90.00°, γ = 90.00°
Last column: nearest neighbours and their distance in Å.
Sites, in units of the cell vectors:
Os1 0.0000 0.0000 0.0000  2 La 2.61, 4 Na 2.75
Na1 0.0000 0.0000 0.5000  2 Os 2.75
Na2 0.5000 0.0000 0.0000  2 Os 2.75
Te1 0.5000 0.5000 0.5000  8 Na 3.79, 4 La 3.88
La1 0.0000 0.5000 0.0000  2 Os 2.61

Calculated values
SG   No. 123
Formation energy without anion corrections   0.198 eV per atom

---

This record from the Alexandria database describes a relaxed structure of Na2LaVOs. The functional is PBE.

a = 5.2098 Å, b = 4.5943 Å, c = 5.2098 Å
α = 90.00°, β = 90.00°, γ = 90.00°
Last column: nearest neighbours and their distance in Å.
Sites, in units of the cell vectors:
Na1 0.0000 0.0000 0.5000  2 V 2.60
Na2 0.5000 0.0000 0.0000  2 V 2.60
Os1 0.0000 0.5000 0.0000  2 V 2.30
La1 0.5000 0.5000 0.5000  8 Na 3.47, 4 Os 3.68
V1 0.0000 0.0000 0.0000  2 Os 2.30

Calculated values
SG   No. 123
ΔE_f   0.90 eV/atom

---

This record from the Alexandria database describes a relaxed structure of NaLa2ZnOs. The functional is PBE.

a = 5.5329 Å, b = 5.1050 Å, c = 5.5329 Å
α = 90.00°, β = 90.00°, γ = 90.00°
Last column: nearest neighbours and their distance in Å.
Sites, in units of the cell vectors:
Na1 0.5000 0.5000 0.5000  8 La 3.76, 4 Zn 3.91
La1 0.5000 0.0000 0.0000  2 Os 2.77
La2 0.0000 0.0000 0.5000  2 Os 2.77
Os1 0.0000 0.0000 0.0000  2 Zn 2.55, 4 La 2.77
Zn1 0.0000 0.5000 0.0000  2 Os 2.55

Calculated values
SG   No. 123
ΔE_f   0.00 eV/atom

---

This record from the Alexandria database describes a relaxed structure of NaLa2P. The functional is PBE.

a = 4.0804 Å, b = 4.0804 Å, c = 10.2529 Å
α = 78.52°, β = 78.52°, γ = 60.00°
Last column: nearest neighbours and their distance in Å.
Sites, in units of the cell vectors:
La1 0.0552 0.0552 0.8344  3 P 2.88
La2 0.2779 0.2779 0.1662  3 P 2.88
P1 0.6666 0.6666 0.0003  6 La 2.88
Na1 0.5003 0.5003 0.4991  6 La 4.07-4.09, 6 Na 4.08

Calculated values
SG   No. 160
ΔE_f   -0.70 eV/atom

---

This record from the Alexandria database describes a relaxed structure of NaLa2P. The functional is PBE.

a = 4.0197 Å, b = 4.0197 Å, c = 11.2894 Å
α = 79.74°, β = 79.74°, γ = 60.00°
Last column: nearest neighbours and their distance in Å.
Sites, in units of the cell vectors:
La1 0.1165 0.1165 0.6506  3 P 2.86
La2 0.8835 0.8835 0.3494  3 P 2.86
P1 0.5000 0.5000 0.5000  6 La 2.86
Na1 0.0000 0.0000 0.0000  2 La 3.86, 6 Na 4.02

Calculated values
SG   No. 166
ΔE_f   -0.64 eV/atom

---

This record from the Alexandria database describes a relaxed structure of Na2LaP2. The functional is PBE.

a = 8.2511 Å, b = 8.2511 Å, c = 3.5412 Å
α = 90.00°, β = 90.00°, γ = 90.00°
Last column: nearest neighbours and their distance in Å.
Sites, in units of the cell vectors:
Na1 0.3804 0.1196 0.5000  1 Na 2.79, 6 P 2.91-3.10
Na2 0.8804 0.3804 0.5000  1 Na 2.79, 6 P 2.91-3.10
Na3 0.1196 0.6196 0.5000  1 Na 2.79, 6 P 2.91-3.10
Na4 0.6196 0.8804 0.5000  1 Na 2.79, 6 P 2.91-3.10
P1 0.6821 0.1821 0.0000  6 Na 2.91-3.10, 2 La 3.02
P2 0.1821 0.3179 0.0000  6 Na 2.91-3.10, 2 La 3.02
P3 0.8179 0.6821 0.0000  6 Na 2.91-3.10, 2 La 3.02
P4 0.3179 0.8179 0.0000  6 Na 2.91-3.10, 2 La 3.02
La1 0.0000 0.0000 0.0000  4 P 3.02
La2 0.5000 0.5000 0.0000  4 P 3.02

Calculated values
SG   No. 127
ΔE_f   -0.34 eV/atom

---

This record from the Alexandria database describes a relaxed structure of NaLaP. The functional is PBE.

a = 4.4226 Å, b = 4.4243 Å, c = 11.3658 Å
α = 101.22°, β = 90.00°, γ = 119.99°
Last column: nearest neighbours and their distance in Å.
Sites, in units of the cell vectors:
P1 0.0743 0.1486 0.2209  3 Na 2.87, 3 La 2.88
P2 0.9257 0.8514 0.7791  3 Na 2.87, 3 La 2.88
La1 0.7810 0.5619 0.3407  3 P 2.88
La2 0.2190 0.4381 0.6593  3 P 2.88
Na1 0.6322 0.2645 0.8982  3 P 2.87
Na2 0.3678 0.7355 0.1018  3 P 2.87

Calculated values
SG   No. 12
ΔE_f   -0.64 eV/atom

---

This record from the Alexandria database describes a relaxed structure of Na2LaP2. The functional is PBE.

a = 4.2182 Å, b = 4.2182 Å, c = 6.9958 Å
α = 72.45°, β = 72.45°, γ = 90.00°
Last column: nearest neighbours and their distance in Å.
Sites, in units of the cell vectors:
Na1 0.7500 0.2500 0.5000  4 P 2.93, 4 Na 2.98
Na2 0.2500 0.7500 0.5000  4 P 2.93, 4 Na 2.98
La1 0.0000 0.0000 0.0000  8 P 3.19
P1 0.5898 0.5898 0.8205  1 P 2.27
P2 0.4102 0.4102 0.1795  1 P 2.27

Calculated values
SG   No. 139
ΔE_f   -0.65 eV/atom

---

This record from the Alexandria database describes a relaxed structure of NaLa2P. The functional is PBE.

a = 8.6101 Å, b = 8.6101 Å, c = 7.0926 Å
α = 52.63°, β = 52.63°, γ = 90.00°
Last column: nearest neighbours and their distance in Å.
Sites, in units of the cell vectors:
Na1 0.5000 0.5000 0.0000  8 La 3.57-3.83, 2 P 3.64
Na2 0.2500 0.7500 0.5000  8 La 3.57-3.83, 2 P 3.64
La1 0.8750 0.9381 0.7500  2 P 2.84
La2 0.0619 0.6250 0.2500  2 P 2.84
La3 0.6881 0.1250 0.2500  2 P 2.84
La4 0.3750 0.3119 0.7500  2 P 2.84
P1 0.7500 0.2500 0.5000  4 La 2.84
P2 0.0000 0.0000 0.0000  4 La 2.84

Calculated values
SG   No. 122
ΔE_f   -0.34 eV/atom

---

This record from the Alexandria database describes a relaxed structure of Na3LaP. The functional is PBE.

a = 5.2470 Å, b = 5.2470 Å, c = 5.2470 Å
α = 90.00°, β = 90.00°, γ = 90.00°
Last column: nearest neighbours and their distance in Å.
Sites, in units of the cell vectors:
Na1 0.0000 0.5000 0.0000  2 P 2.62
Na2 0.0000 0.0000 0.5000  2 P 2.62
Na3 0.5000 0.0000 0.0000  2 P 2.62
P1 0.0000 0.0000 0.0000  6 Na 2.62
La1 0.5000 0.5000 0.5000  12 Na 3.71

Calculated values
SG   No. 221
ΔE_f   0.26 eV/atom

---

> Number 12 is which compound?

Na3LaP